(1)
The following is a PBE calculation of ErTlHgSe3 after structural relaxation, from the Open Quantum Materials Database.

Results
total magnetic moment = 0.01 μB per cell
space-group type = Pnma

a b c (Å): 12.240 4.251 12.808
angles (deg): 90.00 90.00 90.00
Positions (direct):
Er (0.466, 0.500, 0.172)
Er (0.966, 0.500, 0.328)
Er (0.034, 0.000, 0.672)
Er (0.534, 0.000, 0.828)
Hg (0.749, 0.000, 0.195)
Hg (0.249, 0.000, 0.305)
Hg (0.751, 0.500, 0.695)
Hg (0.251, 0.500, 0.805)
Se (0.582, 0.000, 0.066)
Se (0.238, 0.500, 0.169)
Se (0.968, 0.000, 0.173)
Se (0.468, 0.000, 0.327)
Se (0.738, 0.500, 0.331)
Se (0.082, 0.000, 0.434)
Se (0.918, 0.500, 0.566)
Se (0.262, 0.000, 0.669)
Se (0.532, 0.500, 0.673)
Se (0.032, 0.500, 0.827)
Se (0.762, 0.000, 0.831)
Se (0.418, 0.500, 0.934)
Tl (0.160, 0.000, 0.002)
Tl (0.660, 0.000, 0.498)
Tl (0.340, 0.500, 0.502)
Tl (0.840, 0.500, 0.998)



(2)
The following is a PBE calculation of ErTlHgSe3 after structural relaxation, from the Open Quantum Materials Database.

Results
total magnetic moment = 0.01 μB per cell
space-group type = Cmcm

a b c (Å): 4.155 7.619 10.923
angles (deg): 90.00 90.00 74.18
Positions (direct):
Er (0.000, 0.000, 0.000)
Er (0.000, 0.000, 0.500)
Hg (0.547, 0.905, 0.250)
Hg (0.453, 0.095, 0.750)
Se (0.633, 0.733, 0.040)
Se (0.926, 0.149, 0.250)
Se (0.633, 0.733, 0.460)
Se (0.367, 0.267, 0.540)
Se (0.074, 0.851, 0.750)
Se (0.367, 0.267, 0.960)
Tl (0.250, 0.500, 0.250)
Tl (0.750, 0.500, 0.750)



(3)
The following is a PBE calculation of ErSiHg after structural relaxation, from the Open Quantum Materials Database.

Results
total magnetic moment = 0.00 μB per cell
space-group type = F-43m

a b c (Å): 4.648 4.648 4.648
angles (deg): 60.00 60.00 60.00
Positions (direct):
Er (0.250, 0.250, 0.250)
Hg (0.750, 0.750, 0.750)
Si (0.000, 0.000, 0.000)



Number 1: total energy -3.825 eV per atom. Number 2: total energy -3.874 eV per atom. Number 3: total energy -3.635 eV per atom.